Compound: ErSnOs
Source: OQMD via LeMat-Bulk
Functional: GGA-PBE
Structure: relaxed

Properties
size of the total moment: 0.00 μB per formula unit
VASP energy: -6.759 eV/atom

Cell: 4.629 4.629 4.629 Å, 60.00 60.00 60.00°
Fractional positions:
1 Er 0.250 0.250 0.250
2 Os 0.000 0.000 0.000
3 Sn 0.750 0.750 0.750